No. 1
VASP calculation (PBE) on an optimized crystal structure of CaPuAl2.

energy above the most stable polymorph in this dataset = 0.000 eV/atom

Cell: 3.171 3.171 9.193 Å, 90.00 90.00 90.00°
Positions (direct):
Ca: 0.000 0.000 0.000
Pu: 0.000 0.000 0.500
Al: 0.500 0.500 0.256
Al: 0.500 0.500 0.744

***

No. 2
VASP calculation (PBE) on an optimized crystal structure of CaPuAl6.

Cell: 4.486 6.030 6.054 Å, 90.00 90.00 90.00°
Positions (direct):
Ca: 0.000 0.000 0.000
Pu: 0.500 0.500 0.776
Al: 0.000 0.255 0.530
Al: 0.000 0.500 0.131
Al: 0.000 0.745 0.530
Al: 0.500 0.000 0.627
Al: 0.500 0.263 0.256
Al: 0.500 0.737 0.256

***

No. 3
VASP calculation (PBE) on an optimized crystal structure of CaPuAl2.

energy above the most stable polymorph in this dataset = 0.043 eV/atom

Cell: 5.155 5.155 5.155 Å, 60.00 60.00 60.00°
Positions (direct):
Ca: 0.000 0.000 0.000
Pu: 0.500 0.500 0.500
Al: 0.250 0.250 0.250
Al: 0.750 0.750 0.750

***

No. 4
VASP calculation (PBE) on an optimized crystal structure of CaPu3Al8.

Cell: 5.596 5.596 8.850 Å, 90.00 90.00 120.00°
Positions (direct):
Ca: 0.000 0.000 0.000
Pu: 0.000 0.000 0.367
Pu: 0.667 0.333 0.523
Pu: 0.667 0.333 0.838
Al: 0.162 0.323 0.678
Al: 0.162 0.838 0.678
Al: 0.333 0.667 0.430
Al: 0.333 0.667 0.927
Al: 0.506 0.012 0.184
Al: 0.506 0.494 0.184
Al: 0.677 0.838 0.678
Al: 0.988 0.494 0.184

***

No. 5
VASP calculation (PBE) on an optimized crystal structure of CaPuAl2Si2.

formation energy (no corrections) = -0.346 eV/atom

Cell: 4.205 4.205 8.356 Å, 90.00 90.00 120.00°
Positions (direct):
Ca: 0.000 0.000 0.000
Pu: 0.000 0.000 0.500
Al: 0.333 0.667 0.264
Al: 0.667 0.333 0.736
Si: 0.333 0.667 0.735
Si: 0.667 0.333 0.265

***

No. 6
VASP calculation (PBE) on an optimized crystal structure of CaPuAlTl.

Cell: 5.338 5.338 5.338 Å, 60.00 60.00 60.00°
Positions (direct):
Ca: 0.000 0.000 0.000
Pu: 0.500 0.500 0.500
Al: 0.750 0.750 0.750
Tl: 0.250 0.250 0.250

***

Number 1: raw total energy -6.100 eV per atom. Number 2: raw total energy -5.046 eV per atom. Number 3: raw total energy -6.058 eV per atom. Number 4: raw total energy -6.543 eV per atom. Number 5: raw total energy -6.123 eV per atom. Number 6: raw total energy -5.722 eV per atom.